# 1
## SmDyHf (PBE)

Data for an optimized crystal structure of SmDyHf.

Properties
calculated total energy = -37.83 eV per cell
calculated formation energy = 0.1206 eV/atom
volume = 178.1 Å³/cell
SG = P4/nmm
distance to the lowest polymorph of the same formula = 0.000 eV/f.u.

```
SmDyHf
1.0
-1.8159 2.6104 -1.9887
0.0283 -2.2603 -2.9928
-11.0781 -4.9422 3.6280
Dy Sm Hf
2 2 2
direct
0.5000 0.0000 0.7961 Dy
0.0000 0.5000 0.2039 Dy
0.0000 0.5000 0.5956 Sm
0.5000 0.0000 0.4044 Sm
0.5000 0.0000 0.0515 Hf
0.0000 0.5000 0.9485 Hf
```

# 2
## SmDy2Hf (PBE)

Data for an optimized crystal structure of SmDy2Hf.

Properties
calculated total energy = -23.42 eV per cell
calculated formation energy = 0.1153 eV/atom
volume = 116.1 Å³/cell
SG = R3m
distance to the lowest polymorph of the same formula = 0.000 eV/f.u.

```
SmDy2Hf
1.0
-0.7783 0.0502 -3.3597
-2.3660 -2.1734 -1.2548
-9.1063 6.9209 0.4426
Dy Hf Sm
2 1 1
direct
0.0773 0.0773 0.7682 Dy
0.2562 0.2562 0.2313 Dy
0.6665 0.6665 0.0005 Hf
0.5000 0.5000 0.5000 Sm
```